1.
A plane-wave DFT calculation with PBE-GGA was carried out for an optimized crystal structure of LaGeBi.

Geometry as POSCAR:
```
LaGeBi
1.0
2.3067 -8.8419 0.0000
2.3067 8.8419 0.0000
0.0000 0.0000 4.2394
La Ge Bi
2 2 2
Cartesian
2.3067 7.1343 3.1795 La
2.3067 -7.1343 1.0598 La
2.3067 0.8046 3.1795 Ge
2.3067 -0.8046 1.0598 Ge
2.3067 4.3701 1.0598 Bi
2.3067 -4.3701 3.1795 Bi
```

Computed properties:
Its excess energy over the best structure of this formula in the dataset is 0.000 eV/atom. Its calculated density is 8.1 g cm⁻³. The volume is 28.8 A^3/atom. The energy comes out at -31.200 eV per cell. Its space-group type is Cmcm. As for the formation enthalpy at 0 K: -0.72 eV per atom.



2.
A plane-wave DFT calculation with PBE-GGA was carried out for an optimized crystal structure of MnAgSe2.

Geometry as POSCAR:
```
MnAgSe2
1.0
7.2174 0.0000 0.0000
0.0000 7.3479 0.0000
0.0000 0.0000 6.4669
Mn Ag Se
4 4 8
Cartesian
0.2368 0.8980 0.0000 Mn
3.3719 4.5719 3.2335 Mn
3.8455 2.7760 0.0000 Mn
6.9806 6.4499 3.2335 Mn
1.0420 3.8056 0.0254 Ag
2.5667 0.1316 3.2588 Ag
4.6507 7.2163 0.0254 Ag
6.1754 3.5423 3.2588 Ag
0.2671 1.1269 4.1933 Se
1.2041 4.8225 3.9411 Se
2.4046 1.1486 0.7076 Se
3.3416 4.8008 0.9598 Se
3.8759 2.5471 4.1933 Se
4.8128 6.1993 3.9411 Se
6.0133 2.5254 0.7076 Se
6.9503 6.2210 0.9598 Se
```

Computed properties:
As for the formation energy from raw total energies: -0.025 eV/atom. Its calculated density is 6.2 g cm⁻³. The volume is 21.4 A^3/atom. The energy comes out at -76.352 eV per cell. Its space-group type is Pna2_1.



3.
A plane-wave DFT calculation with PBE-GGA was carried out for an optimized crystal structure of CrNi23Pd6.

Geometry as POSCAR:
```
CrNi23Pd6
1.0
0.0000 5.6790 5.6790
5.6790 0.0000 5.6790
5.6790 5.6790 0.0000
Cr Ni Pd
1 23 6
Cartesian
0.0000 0.0000 0.0000 Cr
2.8395 2.8395 0.0000 Ni
2.8395 0.0000 2.8395 Ni
5.6790 2.8395 2.8395 Ni
7.0633 4.2947 4.2947 Ni
1.9087 1.9087 1.9087 Ni
3.7704 3.7704 1.9087 Ni
3.7704 1.9087 3.7704 Ni
4.2947 4.2947 4.2947 Ni
7.0633 7.0633 4.2947 Ni
7.0633 4.2947 7.0633 Ni
1.9087 3.7704 3.7704 Ni
0.0000 2.8395 2.8395 Ni
2.8395 5.6790 2.8395 Ni
2.8395 2.8395 5.6790 Ni
5.6790 5.6790 5.6790 Ni
9.4494 7.5877 7.5877 Ni
4.2947 7.0633 4.2947 Ni
4.2947 4.2947 7.0633 Ni
7.0633 7.0633 7.0633 Ni
7.5877 9.4494 7.5877 Ni
7.5877 7.5877 9.4494 Ni
9.4494 9.4494 9.4494 Ni
4.2947 7.0633 7.0633 Ni
5.6790 5.6790 2.5485 Pd
5.6790 2.5485 5.6790 Pd
8.8096 5.6790 5.6790 Pd
2.5485 5.6790 5.6790 Pd
5.6790 8.8096 5.6790 Pd
5.6790 5.6790 8.8096 Pd
```

Computed properties:
Its calculated density is 9.2 g cm⁻³. The volume is 12.2 A^3/atom. The energy comes out at -170.386 eV per cell. Its space-group type is Fm-3m. As for the formation enthalpy at 0 K: 0.11 eV per atom.



Repeat the first record exactly.
A plane-wave DFT calculation with PBE-GGA was carried out for an optimized crystal structure of LaGeBi.

Geometry as POSCAR:
```
LaGeBi
1.0
2.3067 -8.8419 0.0000
2.3067 8.8419 0.0000
0.0000 0.0000 4.2394
La Ge Bi
2 2 2
Cartesian
2.3067 7.1343 3.1795 La
2.3067 -7.1343 1.0598 La
2.3067 0.8046 3.1795 Ge
2.3067 -0.8046 1.0598 Ge
2.3067 4.3701 1.0598 Bi
2.3067 -4.3701 3.1795 Bi
```

Computed properties:
Its excess energy over the best structure of this formula in the dataset is 0.000 eV/atom. Its calculated density is 8.1 g cm⁻³. The volume is 28.8 A^3/atom. The energy comes out at -31.200 eV per cell. Its space-group type is Cmcm. As for the formation enthalpy at 0 K: -0.72 eV per atom.